Entry 1:
Crystalline HfMg5Ag4 at its relaxed geometry. Source: the Alexandria database, functional PBE-GGA.

Lattice parameters (Å, degrees): 3.2537 3.2537 18.1349 90.00 90.00 90.00
Space group P4/mmm (No. 123)
One atom of each set of equivalent atoms:
Hf 0.0000 0.0000 0.0000 (multiplicity 1)
Mg 0.5000 0.5000 0.1179 (multiplicity 2)
Mg 0.5000 0.5000 0.3101 (multiplicity 2)
Mg 0.5000 0.5000 0.5000 (multiplicity 1)
Ag 0.0000 0.0000 0.2139 (multiplicity 2)
Ag 0.0000 0.0000 0.4049 (multiplicity 2)

uncorrected energy	-3.080	eV per atom
energy of formation from the pure elements	-0.147	eV/atom
D(E_F)	0.6405	states/eV/atom

=====

Entry 2:
Crystalline La2SmOsN4 at its relaxed geometry. Source: the Alexandria database, functional PBE-GGA.

Lattice parameters (Å, degrees): 3.4980 12.1386 12.4551 90.00 90.00 90.00
Space group Cmcm (No. 63)
One atom of each set of equivalent atoms:
La 0.0000 0.1327 0.0413 (multiplicity 8)
Sm 0.0000 0.3756 0.2500 (multiplicity 4)
Os 0.0000 0.3518 0.7500 (multiplicity 4)
N 0.0000 0.0718 0.2500 (multiplicity 4)
N 0.0000 0.2242 0.6413 (multiplicity 8)
N 0.0000 0.5000 0.0000 (multiplicity 4)

uncorrected energy	-8.169	eV per atom
D(E_F)	0.1757	states/eV/atom
E_form (uncorrected)	-603	kJ/mol of formula units

=====

Entry 3:
Crystalline Er3Sn2H2 at its relaxed geometry. Source: the Alexandria database, functional PBE-GGA.

Lattice parameters (Å, degrees): 5.9987 9.0184 6.3754 90.00 121.47 90.00
Space group P2_1/c (No. 14)
One atom of each set of equivalent atoms:
Er 0.0000 0.0000 0.0000 (multiplicity 2)
Er 0.3274 0.0818 0.6323 (multiplicity 4)
Sn 0.2078 0.7314 0.3259 (multiplicity 4)
H 0.3660 0.0683 0.3139 (multiplicity 4)

uncorrected energy	-4.611	eV per atom
D(E_F)	0.4870	states/eV/atom

=====

Entry 4:
Crystalline BaZrPb at its relaxed geometry. Source: the Alexandria database, functional PBE-GGA.

Lattice parameters (Å, degrees): 7.7632 7.7632 7.7632 90.00 90.00 90.00
Space group F-43m (No. 216)
One atom of each set of equivalent atoms:
Ba 0.0000 0.0000 0.0000 (multiplicity 4)
Zr 0.2500 0.2500 0.7500 (multiplicity 4)
Pb 0.2500 0.2500 0.2500 (multiplicity 4)

uncorrected energy	-3.748	eV per atom
energy of formation from the pure elements	0.979	eV/atom
D(E_F)	1.9080	states/eV/atom

=====

Entry 5:
Crystalline SnTeRh3 at its relaxed geometry. Source: the Alexandria database, functional PBE-GGA.

Lattice parameters (Å, degrees): 4.8634 4.8634 4.8634 90.00 90.00 90.00
Space group Pm-3m (No. 221)
One atom of each set of equivalent atoms:
Sn 0.0000 0.0000 0.0000 (multiplicity 1)
Te 0.5000 0.5000 0.5000 (multiplicity 1)
Rh 0.0000 0.5000 0.5000 (multiplicity 3)

uncorrected energy	-5.205	eV per atom
D(E_F)	1.3473	states/eV/atom
E_form (uncorrected)	306	kJ/mol of formula units

=====

Entry 6:
Crystalline RbFeBr3 at its relaxed geometry. Source: the Alexandria database, functional PBE-GGA.

Lattice parameters (Å, degrees): 6.7728 6.7728 22.9195 90.00 90.00 120.00
Space group R-3 (No. 148, hexagonal axes)
One atom of each set of equivalent atoms:
Rb 0.0000 0.0000 0.1529 (multiplicity 6)
Fe 0.0000 0.0000 0.3333 (multiplicity 6)
Br 0.0002 0.3775 0.9394 (multiplicity 18)

uncorrected energy	-3.529	eV per atom
D(E_F)	0.0000	states/eV/atom
E_form (uncorrected)	-308	kJ/mol of formula units

=====

Entry 7:
Crystalline Er8Tm6Al at its relaxed geometry. Source: the Alexandria database, functional PBE-GGA.

Lattice parameters (Å, degrees): 8.9726 8.9726 6.6614 90.00 90.00 120.00
Space group P-3 (No. 147)
One atom of each set of equivalent atoms:
Er 0.0122 0.3225 0.3819 (multiplicity 6)
Er 0.3333 0.6667 0.6999 (multiplicity 2)
Tm 0.0686 0.6808 0.1069 (multiplicity 6)
Al 0.0000 0.0000 0.0000 (multiplicity 1)

uncorrected energy	-4.229	eV per atom
energy of formation from the pure elements	0.242	eV/atom
D(E_F)	1.3660	states/eV/atom

=====

Entry 8:
Crystalline MgPb2Au at its relaxed geometry. Source: the Alexandria database, functional PBE-GGA.

Lattice parameters (Å, degrees): 4.0863 4.4781 5.9338 90.00 109.82 90.00
Space group Pm (No. 6)
One atom of each set of equivalent atoms:
Mg 0.0000 0.0000 0.0000 (multiplicity 1)
Pb 0.2804 0.0000 0.5536 (multiplicity 1)
Pb 0.5868 0.5000 0.1739 (multiplicity 1)
Au 0.8633 0.5000 0.7176 (multiplicity 1)

uncorrected energy	-3.195	eV per atom
energy of formation from the pure elements	-0.123	eV/atom
D(E_F)	0.4386	states/eV/atom

=====

Entry 9:
Crystalline SrAuBr at its relaxed geometry. Source: the Alexandria database, functional PBE-GGA.

Lattice parameters (Å, degrees): 4.5127 4.5127 6.1760 90.00 90.00 120.00
Space group P3m1 (No. 156)
One atom of each set of equivalent atoms:
Sr 0.0000 0.0000 0.0000 (multiplicity 1)
Au 0.6667 0.3333 0.2831 (multiplicity 1)
Br 0.3333 0.6667 0.7308 (multiplicity 1)

uncorrected energy	-3.374	eV per atom
D(E_F)	0.0000	states/eV/atom
E_form (uncorrected)	-337	kJ/mol of formula units

=====

Entry 10:
Crystalline Cs2AlIrBr6 at its relaxed geometry. Source: the Alexandria database, functional PBE-GGA.

Lattice parameters (Å, degrees): 7.6715 7.6715 10.8134 90.00 90.00 90.00
Space group I4/mmm (No. 139)
One atom of each set of equivalent atoms:
Cs 0.0000 0.5000 0.2500 (multiplicity 4)
Al 0.0000 0.0000 0.0000 (multiplicity 2)
Ir 0.0000 0.0000 0.5000 (multiplicity 2)
Br 0.0000 0.0000 0.2620 (multiplicity 4)
Br 0.2367 0.2367 0.5000 (multiplicity 8)

uncorrected energy	-3.333	eV per atom
D(E_F)	0.0000	states/eV/atom
E_form (uncorrected)	-867	kJ/mol of formula units

=====

Entry 11:
Crystalline Nd6GeSb3Se2 at its relaxed geometry. Source: the Alexandria database, functional PBE-GGA.

Lattice parameters (Å, degrees): 19.1714 4.3974 8.8118 90.00 103.35 90.00
Space group C2/m (No. 12)
One atom of each set of equivalent atoms:
Nd 0.0016 0.0000 0.2383 (multiplicity 4)
Nd 0.1611 0.5000 0.0850 (multiplicity 4)
Nd 0.1678 0.5000 0.5792 (multiplicity 4)
Ge 0.0000 0.5000 0.0000 (multiplicity 2)
Sb 0.0000 0.5000 0.5000 (multiplicity 2)
Sb 0.1687 0.0000 0.8326 (multiplicity 4)
Se 0.1673 0.0000 0.3353 (multiplicity 4)

uncorrected energy	-5.750	eV per atom
D(E_F)	0.1982	states/eV/atom
E_form (uncorrected)	-1587	kJ/mol of formula units

=====

Entry 12:
Crystalline Mg2TaTiN4 at its relaxed geometry. Source: the Alexandria database, functional PBE-GGA.

Lattice parameters (Å, degrees): 5.2829 3.0551 5.3952 90.00 108.99 90.00
Space group P2/m (No. 10)
One atom of each set of equivalent atoms:
Mg 0.0000 0.0000 0.0000 (multiplicity 1)
Mg 0.5000 0.5000 0.0000 (multiplicity 1)
Ta 0.0000 0.5000 0.5000 (multiplicity 1)
Ti 0.5000 0.0000 0.5000 (multiplicity 1)
N 0.2459 0.0000 0.7385 (multiplicity 2)
N 0.2549 0.5000 0.2653 (multiplicity 2)

uncorrected energy	-8.259	eV per atom
D(E_F)	0.2440	states/eV/atom
E_form (uncorrected)	-949	kJ/mol of formula units

=====

Entry 13:
Crystalline LiAg at its relaxed geometry. Source: the Alexandria database, functional PBE-GGA.

Lattice parameters (Å, degrees): 2.8503 4.8003 4.8851 90.00 90.00 90.00
Space group Pmmn (No. 59, origin choice 2)
One atom of each set of equivalent atoms:
Li 0.2500 0.2500 0.1121 (multiplicity 2)
Ag 0.2500 0.7500 0.3927 (multiplicity 2)

uncorrected energy	-2.551	eV per atom
energy of formation from the pure elements	-0.169	eV/atom
D(E_F)	0.2361	states/eV/atom

=====

Entry 14:
Crystalline LiTiP2Cl at its relaxed geometry. Source: the Alexandria database, functional PBE-GGA.

Lattice parameters (Å, degrees): 4.3160 4.3160 4.5472 90.00 90.00 90.00
Space group P4/mmm (No. 123)
One atom of each set of equivalent atoms:
Li 0.0000 0.0000 0.0000 (multiplicity 1)
Ti 0.5000 0.5000 0.5000 (multiplicity 1)
P 0.0000 0.5000 0.0000 (multiplicity 2)
Cl 0.0000 0.0000 0.5000 (multiplicity 1)

uncorrected energy	-4.149	eV per atom
D(E_F)	0.8260	states/eV/atom
E_form (uncorrected)	167	kJ/mol of formula units

=====

Entry 15:
Crystalline Ce4PSe2Br at its relaxed geometry. Source: the Alexandria database, functional PBE-GGA.

Lattice parameters (Å, degrees): 7.2177 4.1673 7.2655 90.00 109.33 90.00
Space group P2/m (No. 10)
One atom of each set of equivalent atoms:
Ce 0.2410 0.0000 0.2342 (multiplicity 2)
Ce 0.2504 0.5000 0.7641 (multiplicity 2)
P 0.0000 0.5000 0.0000 (multiplicity 1)
Se 0.5000 0.0000 0.0000 (multiplicity 1)
Se 0.5000 0.5000 0.5000 (multiplicity 1)
Br 0.0000 0.0000 0.5000 (multiplicity 1)

uncorrected energy	-6.315	eV per atom
D(E_F)	2.9089	states/eV/atom
E_form (uncorrected)	-1229	kJ/mol of formula units

=====

Entry 16:
Crystalline RbMnBr2Cl at its relaxed geometry. Source: the Alexandria database, functional PBE-GGA.

Lattice parameters (Å, degrees): 6.6044 6.6044 4.3724 90.00 90.00 90.00
Space group P4/mmm (No. 123)
One atom of each set of equivalent atoms:
Rb 0.0000 0.0000 0.0000 (multiplicity 1)
Mn 0.5000 0.5000 0.0000 (multiplicity 1)
Br 0.0000 0.5000 0.5000 (multiplicity 2)
Cl 0.5000 0.5000 0.5000 (multiplicity 1)

uncorrected energy	-3.701	eV per atom
D(E_F)	0.0000	states/eV/atom
E_form (uncorrected)	-306	kJ/mol of formula units

=====

Entry 17:
Crystalline LiTbSm2S5 at its relaxed geometry. Source: the Alexandria database, functional PBE-GGA.

Lattice parameters (Å, degrees): 3.9558 16.4189 11.8771 90.00 90.00 90.00
Space group Cmc2_1 (No. 36)
One atom of each set of equivalent atoms:
Li 0.0000 0.0135 0.0000 (multiplicity 4)
Tb 0.0000 0.3029 0.5190 (multiplicity 4)
Sm 0.0000 0.3764 0.8138 (multiplicity 4)
Sm 0.0000 0.3920 0.2024 (multiplicity 4)
S 0.0000 0.0007 0.8021 (multiplicity 4)
S 0.0000 0.1366 0.5169 (multiplicity 4)
S 0.0000 0.1921 0.8592 (multiplicity 4)
S 0.0000 0.2127 0.1797 (multiplicity 4)
S 0.0000 0.4540 0.5903 (multiplicity 4)

uncorrected energy	-5.973	eV per atom
E_form (uncorrected)	-1654	kJ/mol of formula units

=====

Entry 18:
Crystalline ZnPt2W at its relaxed geometry. Source: the Alexandria database, functional PBE-GGA.

Lattice parameters (Å, degrees): 3.9614 3.9614 7.7667 90.00 90.00 90.00
Space group I-4m2 (No. 119)
One atom of each set of equivalent atoms:
Zn 0.0000 0.0000 0.0000 (multiplicity 2)
Pt 0.0000 0.0000 0.5000 (multiplicity 2)
Pt 0.0000 0.5000 0.7500 (multiplicity 2)
W 0.0000 0.5000 0.2500 (multiplicity 2)

uncorrected energy	-6.688	eV per atom
energy of formation from the pure elements	-0.111	eV/atom
D(E_F)	0.7054	states/eV/atom

=====

Entry 19:
Crystalline PmUSb2 at its relaxed geometry. Source: the Alexandria database, functional PBE-GGA.

Lattice parameters (Å, degrees): 3.7744 3.7744 7.6824 90.00 90.00 90.00
Space group P4/mmm (No. 123)
One atom of each set of equivalent atoms:
Pm 0.0000 0.0000 0.0000 (multiplicity 1)
U 0.0000 0.0000 0.5000 (multiplicity 1)
Sb 0.5000 0.5000 0.2607 (multiplicity 2)

uncorrected energy	-6.586	eV per atom
D(E_F)	1.2533	states/eV/atom
E_form (uncorrected)	-199	kJ/mol of formula units

=====

Entry 20:
Crystalline Tb4Y9Tl11 at its relaxed geometry. Source: the Alexandria database, functional PBE-GGA.

Lattice parameters (Å, degrees): 16.2651 22.9276 3.5922 90.00 90.00 90.00
Space group Cmmm (No. 65)
One atom of each set of equivalent atoms:
Tb 0.1662 0.0816 0.0000 (multiplicity 8)
Y 0.0000 0.0000 0.0000 (multiplicity 2)
Y 0.1103 0.4067 0.0000 (multiplicity 8)
Y 0.1141 0.2286 0.0000 (multiplicity 8)
Tl 0.0000 0.1237 0.5000 (multiplicity 4)
Tl 0.0000 0.3142 0.5000 (multiplicity 4)
Tl 0.0000 0.5000 0.5000 (multiplicity 2)
Tl 0.2135 0.5000 0.5000 (multiplicity 4)
Tl 0.2311 0.3205 0.5000 (multiplicity 8)

uncorrected energy	-4.571	eV per atom
energy of formation from the pure elements	-0.291	eV/atom
D(E_F)	0.8966	states/eV/atom